(1)
PBE-GGA Pr5YEr2Sc, relaxed; SG = Cmc2_1 (36); electronic total energy = -4.965 eV per atom; V = 33.99 A^3/atom; energy relative to the elements = 0.13 eV/atom
1.0
5.405 0.000 0.000
-2.703 10.968 0.000
0.000 0.000 10.319
Pr Y Er Sc
10 2 4 2
Direct
0.373 0.746 0.008 Pr
0.722 0.444 0.821 Pr
0.500 0.000 0.758 Pr
0.279 0.558 0.697 Pr
0.001 0.002 0.508 Pr
0.627 0.254 0.508 Pr
0.278 0.556 0.321 Pr
0.500 0.000 0.258 Pr
0.721 0.442 0.197 Pr
0.999 0.998 0.008 Pr
0.602 0.204 0.008 Y
0.398 0.796 0.508 Y
0.885 0.770 0.754 Er
0.116 0.231 0.761 Er
0.115 0.230 0.254 Er
0.884 0.769 0.261 Er
0.788 0.575 0.509 Sc
0.212 0.425 0.009 Sc

(2)
PBE-GGA NaScGe2, relaxed; SG = I-42d (122); electronic total energy = -4.174 eV per atom; V = 21.58 A^3/atom; energy relative to the elements = 0.05 eV/atom
1.0
-4.396 6.142 0.618
-2.215 -0.861 -7.196
-5.591 0.913 -2.379
Sc Na Ge
2 2 4
Direct
0.000 0.000 0.000 Sc
0.750 0.250 0.500 Sc
0.500 0.500 0.000 Na
0.250 0.750 0.500 Na
0.630 0.125 0.250 Ge
0.120 0.625 0.250 Ge
0.375 0.370 0.750 Ge
0.875 0.880 0.750 Ge

(3)
PBE-GGA KLi2SiAu, relaxed; SG = P4/mmm (123); formation energy (no corrections) = -0.14 eV per atom; electronic total energy = -2.866 eV per atom; V = 24.81 A^3/atom
1.0
-1.625 2.358 4.296
-4.680 0.595 -2.097
-1.309 -4.105 1.758
K Au Si Li
1 1 1 2
Direct
0.500 0.500 0.500 K
0.000 0.000 0.000 Au
0.000 0.000 0.500 Si
0.000 0.500 0.000 Li
0.500 0.000 0.000 Li

Short version: N(E_F) = 13.45 2.46 1.06 states/eV/f.u., in the order given.